{
  "formula": "Li2CoNiO4",
  "functional": "PBE+U",
  "state": "relaxed",
  "lattice": [[2.983, -0.006, -0.003], [-0.060, 5.022, -0.026], [0.085, 1.615, 4.788]],
  "species": ["O", "O", "O", "O", "Li", "Li", "Ni", "Co"],
  "frac_coords": [[0.495, 0.730, 0.220], [0.038, 0.263, 0.237], [0.962, 0.737, 0.763], [0.505, 0.270, 0.780], [0.500, 0.000, 0.500], [0.000, 0.500, 0.500], [0.000, 0.000, 0.000], [0.500, 0.500, 0.000]],
  "e_tot_ev_per_atom": -5.229,
  "relative_energy_mev_per_atom": 48,
  "density_g_cm3": 4.52
}